LuTiIr2 | PBE | relaxed

Cell and atoms, written as POSCAR:
```
LuTiIr2
1.0
-2.626 -0.595 1.495
-1.156 -1.293 -2.545
2.598 -6.338 2.039
Ir Lu Ti
2 1 1
Direct
0.000 0.000 0.217
0.000 0.000 0.783
0.500 0.500 0.500
0.500 0.500 0.000
```

Output
Distance to the lowest polymorph of the same formula ... 0.000 eV per atom
Energy of formation from the pure elements ... -341 kJ/mol of formula units
Size of the total moment ... 0.0 μB per formula unit
SG ... P4/mmm